# BaCaLa2Tl4

An optimized crystal structure of BaCaLa2Tl4 (PBE-GGA, Alexandria).

The structure in POSCAR format:
```
BaCaLa2Tl4
1.0
5.669 0.000 0.000
2.835 4.910 0.000
2.835 1.637 9.548
La Tl Ba Ca
2 4 1 1
Cartesian
2.835 1.637 2.567 La
8.504 4.910 6.981 La
5.669 3.273 1.388 Tl
8.504 4.910 3.626 Tl
5.669 3.273 8.160 Tl
2.835 1.637 5.922 Tl
0.000 0.000 0.000 Ba
5.669 3.273 4.774 Ca
```

## Properties
space group: R-3m

# Ba3Li2Ca2

An optimized crystal structure of Ba3Li2Ca2 (PBE-GGA, Alexandria).

The structure in POSCAR format:
```
Ba3Li2Ca2
1.0
-6.146 11.691 -3.168
1.694 -12.192 5.741
1.940 2.037 3.755
Ca Li Ba
2 2 3
Cartesian
-0.614 -1.188 3.893 Ca
-1.898 2.724 2.434 Ca
0.458 -4.453 5.111 Li
-2.969 5.989 1.216 Li
0.000 0.000 0.000 Ba
0.355 -8.112 4.219 Ba
-4.806 7.610 -1.646 Ba
```

## Properties
space group: Cmmm

# BaLiCa2

An optimized crystal structure of BaLiCa2 (PBE-GGA, Alexandria).

The structure in POSCAR format:
```
BaLiCa2
1.0
5.958 0.000 0.000
0.000 5.958 0.000
0.000 0.000 9.446
Li Ca Ba
2 4 2
Cartesian
2.979 2.979 0.000 Li
0.000 0.000 0.000 Li
0.000 2.979 7.379 Ca
2.979 2.979 4.723 Ca
0.000 0.000 4.723 Ca
2.979 0.000 2.067 Ca
0.000 2.979 2.067 Ba
2.979 0.000 7.378 Ba
```

## Properties
space group: P4/nmm
distance to the lowest polymorph of the same formula: 5.2 meV per atom

# Ba5LiCa

An optimized crystal structure of Ba5LiCa (PBE-GGA, Alexandria).

The structure in POSCAR format:
```
Ba5LiCa
1.0
-3.832 -5.722 2.339
5.527 -4.709 0.415
2.905 0.898 14.610
Ba Li Ca
10 2 2
Cartesian
3.007 -4.836 4.735 Ba
5.133 -5.800 14.928 Ba
0.040 -2.544 6.524 Ba
3.647 -2.989 9.180 Ba
4.484 -1.771 13.214 Ba
-0.532 -3.733 2.436 Ba
0.953 -6.544 8.184 Ba
1.594 -4.697 12.629 Ba
4.561 -6.989 10.840 Ba
0.117 -7.762 4.150 Ba
0.000 0.000 0.000 Li
1.453 0.449 7.305 Li
-2.532 -5.436 5.873 Ca
7.133 -4.097 11.491 Ca
```

## Properties
space group: C2/c

# BaLiCa4

An optimized crystal structure of BaLiCa4 (PBE-GGA, Alexandria).

The structure in POSCAR format:
```
BaLiCa4
1.0
6.908 -0.740 0.000
-2.679 9.938 0.000
-2.114 -4.599 7.637
Li Ca Ba
2 8 2
Cartesian
-3.067 5.154 7.630 Li
5.181 -0.555 0.007 Li
3.935 6.573 1.851 Ca
0.098 0.968 2.735 Ca
-1.242 5.937 4.902 Ca
-1.820 -1.975 5.785 Ca
3.356 -1.338 2.735 Ca
-1.634 2.345 5.785 Ca
2.017 3.631 4.902 Ca
3.748 2.254 1.851 Ca
0.387 4.784 1.481 Ba
1.727 -0.185 6.156 Ba
```

## Properties
space group: C2/c
distance to the lowest polymorph of the same formula: 0.0 meV per atom

# Ba2LiCa5

An optimized crystal structure of Ba2LiCa5 (PBE-GGA, Alexandria).

The structure in POSCAR format:
```
Ba2LiCa5
1.0
6.088 0.000 0.000
0.000 8.083 0.000
0.000 0.000 8.083
Ba Ca Li
2 5 1
Cartesian
3.044 0.000 4.041 Ba
3.044 4.041 0.000 Ba
0.000 2.117 2.117 Ca
0.000 5.966 2.117 Ca
3.044 0.000 0.000 Ca
0.000 2.117 5.966 Ca
0.000 5.966 5.966 Ca
0.000 0.000 0.000 Li
```

## Properties
space group: P4/mmm

# BaLiCa2

An optimized crystal structure of BaLiCa2 (PBE-GGA, Alexandria).

The structure in POSCAR format:
```
BaLiCa2
1.0
-4.026 0.744 -0.931
0.364 -2.395 -3.487
-2.184 -9.981 1.463
Li Ca Ba
1 2 1
Cartesian
-0.826 -5.938 -1.176 Li
-2.562 -3.002 -0.791 Ca
0.288 -2.619 -3.341 Ca
-3.294 -8.655 -2.146 Ba
```

## Properties
space group: Pm
distance to the lowest polymorph of the same formula: 0.0 meV per atom

# Ba2LiCa2

An optimized crystal structure of Ba2LiCa2 (PBE-GGA, Alexandria).

The structure in POSCAR format:
```
Ba2LiCa2
1.0
-7.958 -1.490 -4.053
4.309 -3.300 -7.247
-0.193 -5.625 2.447
Li Ca Ba
2 4 4
Cartesian
0.000 0.000 0.000 Li
-1.824 -2.395 -5.650 Li
-5.322 -5.194 -4.664 Ca
1.480 -5.221 -4.190 Ca
-2.133 -3.844 -1.309 Ca
-1.709 -6.571 -7.545 Ca
-3.952 -3.414 -8.159 Ba
-4.530 -1.468 -3.733 Ba
0.303 -1.377 -3.142 Ba
0.881 -3.322 -7.568 Ba
```

## Properties
space group: P4/mbm
distance to the lowest polymorph of the same formula: 226.1 meV per atom

Number 1: uncorrected energy -3.28 eV per atom. Number 2: uncorrected energy -1.90 eV per atom. Number 3: uncorrected energy -1.93 eV per atom. Number 4: uncorrected energy -1.84 eV per atom. Number 5: uncorrected energy -1.90 eV per atom. Number 6: uncorrected energy -1.76 eV per atom. Number 7: uncorrected energy -1.93 eV per atom. Number 8: uncorrected energy -1.69 eV per atom.